Entry one
Y2NiIr: optimized geometry, PBE.

Cell and atoms, written as POSCAR:
```
Y2NiIr
1.0
5.627 0.000 0.000
0.000 4.086 0.000
-2.713 0.000 7.332
Ir Ni Y
2 2 4
Cartesian
1.419 3.064 1.581 Ir
1.494 1.021 5.751 Ir
2.870 1.021 2.122 Ni
0.043 3.064 5.210 Ni
4.250 3.064 0.499 Y
0.056 1.021 3.116 Y
2.857 3.064 4.216 Y
-1.336 1.021 6.833 Y
```

Theoretical density: 8.4 g cm⁻³
Total magnetic moment: 0.0 Bohr magnetons per cell
Calculated volume: 21.1 A^3/atom
Symmetry: No. 11


Entry two
Y2NiIr: optimized geometry, PBE.

Cell and atoms, written as POSCAR:
```
Y2NiIr
1.0
-0.428 6.741 -0.899
0.397 -0.611 -4.775
-9.611 -0.705 -0.708
Ir Ni Y
4 4 8
Cartesian
-1.209 1.445 -1.507 Ir
-3.628 4.333 -4.521 Ir
-6.014 1.091 -1.861 Ir
-8.433 3.980 -4.875 Ir
-1.423 4.815 -1.956 Ni
-3.414 0.962 -4.072 Ni
-6.228 4.462 -2.310 Ni
-8.220 0.610 -4.426 Ni
-0.904 -0.547 -3.670 Y
-1.118 2.824 -4.119 Y
-3.504 -0.417 -1.459 Y
-3.719 2.954 -1.909 Y
-5.923 2.471 -4.473 Y
-5.709 -0.899 -4.024 Y
-8.524 2.600 -2.263 Y
-8.310 -0.770 -1.813 Y
```

Theoretical density: 9.0 g cm⁻³
Total magnetic moment: 0.0 Bohr magnetons per cell
Calculated volume: 19.9 A^3/atom
Symmetry: No. 139


Entry three
Y2NiIr: optimized geometry, PBE.

Cell and atoms, written as POSCAR:
```
Y2NiIr
1.0
-2.497 -1.001 3.975
1.300 -4.607 -0.344
2.772 0.640 1.902
Ir Ni Y
1 1 2
Cartesian
0.000 0.000 0.000 Ir
-0.599 -2.804 1.815 Ni
0.137 -0.181 2.938 Y
2.036 -1.984 0.779 Y
```

Theoretical density: 9.0 g cm⁻³
Total magnetic moment: 0.0 Bohr magnetons per cell
Calculated volume: 19.7 A^3/atom
Symmetry: No. 123


Result of the stability comparison: entry three is the least stable of them.


Entry one
Ir4O11: optimized geometry, PBE.

Cell and atoms, written as POSCAR:
```
Ir4O11
1.0
8.098 5.110 4.720
-1.704 -4.549 1.691
2.034 -1.371 -4.031
Ir O
4 11
Cartesian
3.335 -0.727 4.108 Ir
-0.738 -3.491 1.861 Ir
5.134 0.098 -1.757 Ir
9.132 2.533 0.573 Ir
7.365 2.013 4.674 O
4.982 1.941 2.113 O
0.913 -0.814 -0.157 O
5.233 -0.673 4.355 O
1.200 -3.361 2.098 O
5.520 -1.894 2.019 O
5.053 -0.207 0.119 O
7.502 -0.116 2.570 O
3.445 -2.548 0.045 O
1.044 -2.956 -2.245 O
3.238 -0.328 -1.967 O
```

Theoretical density: 7.7 g cm⁻³
Total magnetic moment: 0.0 Bohr magnetons per cell
Calculated volume: 13.6 A^3/atom
Symmetry: No. 1


Entry two
Ir4O11: optimized geometry, PBE.

Cell and atoms, written as POSCAR:
```
Ir4O11
1.0
-5.201 -8.737 -0.032
-2.698 4.427 0.003
1.785 -0.032 -4.328
Ir O
4 11
Cartesian
-5.387 -6.737 -0.255 Ir
-3.427 -1.714 -4.162 Ir
-0.686 -3.031 -4.179 Ir
-0.612 -0.044 -4.199 Ir
-3.472 1.368 -0.668 O
-3.162 -4.524 -0.713 O
-3.414 -1.519 -0.846 O
-6.336 -2.785 -0.929 O
-0.890 0.379 -1.002 O
-5.996 -5.377 -1.111 O
-0.131 -1.461 -3.080 O
-2.388 -2.881 -3.142 O
-2.450 -6.246 -3.173 O
-2.473 -0.109 -3.237 O
0.389 1.382 -3.234 O
```

Theoretical density: 7.8 g cm⁻³
Total magnetic moment: 0.0 Bohr magnetons per cell
Calculated volume: 13.5 A^3/atom
Symmetry: No. 1


Result of the stability comparison: entry one is the least stable of them.


Entry one
Ir4O11: optimized geometry, PBE.

Cell and atoms, written as POSCAR:
```
Ir4O11
1.0
-5.329 -8.503 0.256
-2.661 4.245 -0.052
1.870 0.098 -4.356
Ir O
4 11
Cartesian
-5.247 -1.473 0.026 Ir
-5.432 -7.017 0.108 Ir
-1.780 4.111 -2.235 Ir
-0.619 -2.624 -4.228 Ir
-3.619 2.054 -0.606 O
-3.568 -1.535 -0.948 O
-6.256 -5.665 -0.889 O
-3.008 -4.192 -1.003 O
-6.382 -2.790 -0.998 O
-0.399 -1.341 -2.745 O
-2.800 0.112 -3.212 O
-5.666 -4.192 -3.241 O
-2.373 -5.743 -3.307 O
0.202 1.151 -3.504 O
-2.415 -2.722 -3.394 O
```

Theoretical density: 8.0 g cm⁻³
Total magnetic moment: 0.2 Bohr magnetons per cell
Calculated volume: 13.1 A^3/atom
Symmetry: No. 1


Entry two
Ir4O11: optimized geometry, PBE.

Cell and atoms, written as POSCAR:
```
Ir4O11
1.0
-5.192 8.365 0.814
2.681 -0.981 -4.274
-3.461 -3.093 -0.673
Ir O
4 11
Cartesian
-0.780 4.069 -3.130 Ir
-1.708 3.053 -0.417 Ir
-0.591 -0.854 -2.972 Ir
-7.718 4.667 -0.644 Ir
-4.123 6.738 -1.657 O
-2.342 5.105 -3.534 O
-3.357 4.078 -0.466 O
-1.717 2.568 -2.261 O
0.160 0.591 -3.820 O
-1.568 -2.181 -2.136 O
-6.156 3.633 -0.083 O
-3.471 -0.685 -0.566 O
-2.446 -0.048 -3.639 O
-4.235 1.426 -1.942 O
-0.942 -3.744 -4.725 O
```

Theoretical density: 8.1 g cm⁻³
Total magnetic moment: 0.0 Bohr magnetons per cell
Calculated volume: 13.0 A^3/atom
Symmetry: No. 1


Result of the stability comparison: entry one is the least stable of them.


Entry one
Ir2O: optimized geometry, PBE.

Cell and atoms, written as POSCAR:
```
Ir2O
1.0
3.105 1.793 5.071
-3.105 1.793 5.071
0.000 -3.586 5.071
Ir O
4 2
Cartesian
0.000 0.000 5.705 Ir
1.553 0.896 8.240 Ir
-1.553 0.896 8.240 Ir
0.000 -1.793 8.240 Ir
0.000 0.000 3.803 O
0.000 0.000 7.606 O
```

Theoretical density: 7.9 g cm⁻³
Total magnetic moment: 0.1 Bohr magnetons per cell
Calculated volume: 28.2 A^3/atom
Symmetry: No. 227


Entry two
Ir2O: optimized geometry, PBE.

Cell and atoms, written as POSCAR:
```
Ir2O
1.0
0.000 2.716 2.716
2.716 0.000 2.716
2.716 2.716 0.000
Ir O
2 1
Cartesian
1.358 1.358 1.358 Ir
4.074 4.074 4.074 Ir
0.000 0.000 0.000 O
```

Theoretical density: 16.6 g cm⁻³
Total magnetic moment: 0.0 Bohr magnetons per cell
Calculated volume: 13.4 A^3/atom
Symmetry: No. 225


Result of the stability comparison: entry one is the least stable of them.